(1)
A plane-wave DFT calculation with GGA-PBEsol was carried out for Co2PW after structural relaxation.

Cell lengths 3.5735, 3.5735, 7.2141 Å; angles 90.00, 90.00, 90.00 degrees
With the nearest neighbours (Å) after each atom.
Space group I-4m2 (No. 119)
Symmetry-distinct sites (fractional):
Co  0.0000  0.0000  0.0000 [2 per cell]  4 P 2.53, 4 W 2.54, 4 Co 2.54
Co  0.0000  0.5000  0.2500 [2 per cell]  4 W 2.53, 4 Co 2.54, 4 P 2.54
P  0.0000  0.0000  0.5000 [2 per cell]  8 Co 2.53-2.54, 4 W 2.54
W  0.0000  0.5000  0.7500 [2 per cell]  8 Co 2.53-2.54, 4 P 2.54

E   -8.85 eV per atom
Energy of formation from the pure elements   -0.08 eV per atom

***

(2)
A plane-wave DFT calculation with GGA-PBEsol was carried out for Co2PW after structural relaxation.

Cell lengths 3.3100, 2.7110, 10.5713 Å; angles 90.00, 90.00, 90.00 degrees
With the nearest neighbours (Å) after each atom.
Space group Amm2 (No. 38)
Symmetry-distinct sites (fractional):
Co  0.0000  0.0000  0.0000 [2 per cell]  1 P 2.16
Co  0.5000  0.0000  0.3557 [2 per cell]  4 P 2.23
P  0.0000  0.0000  0.7955 [2 per cell]  5 Co 2.16-2.23
W  0.5000  0.0000  0.6233 [2 per cell]  2 P 2.46, 4 Co 2.50, 2 W 2.71

E   -9.06 eV per atom
Energy of formation from the pure elements   -0.29 eV per atom

***

(3)
A plane-wave DFT calculation with GGA-PBEsol was carried out for Y4CoP after structural relaxation.

Cell lengths 8.3387, 8.3387, 8.3387 Å; angles 90.00, 90.00, 90.00 degrees
With the nearest neighbours (Å) after each atom.
Space group F-43m (No. 216)
Symmetry-distinct sites (fractional):
Y  0.1247  0.1247  0.1247 [16 per cell]  6 Y 2.94-2.95
Co  0.2500  0.2500  0.7500 [4 per cell]  12 Y 3.46, 4 P 3.61
P  0.0000  0.0000  0.5000 [4 per cell]  12 Y 3.46, 4 Co 3.61

E   -6.00 eV per atom
Energy of formation from the pure elements   0.80 eV per atom

***

(4)
A plane-wave DFT calculation with GGA-PBEsol was carried out for YCo3P2 after structural relaxation.

Cell lengths 3.6419, 10.3837, 12.0287 Å; angles 90.00, 90.00, 90.00 degrees
With the nearest neighbours (Å) after each atom.
Space group Pmmn (No. 59, origin choice 2)
Symmetry-distinct sites (fractional):
Y  0.2500  0.0672  0.2057 [4 per cell]  6 P 2.77-2.84, 9 Co 2.85-3.03
Y  0.2500  0.2500  0.4778 [2 per cell]  6 P 2.82-2.91, 10 Co 2.84-3.14
Co  0.2500  0.1298  0.7097 [4 per cell]  4 P 2.23-2.30, 1 Co 2.50
Co  0.2500  0.2500  0.0141 [2 per cell]  4 P 2.15-2.20
Co  0.2500  0.5477  0.4305 [4 per cell]  4 P 2.21-2.35
Co  0.2500  0.5834  0.9949 [4 per cell]  4 P 2.19-2.27
Co  0.2500  0.7500  0.1586 [2 per cell]  5 P 2.22-2.49
Co  0.2500  0.7500  0.7033 [2 per cell]  3 P 2.16-2.23
P  0.2500  0.0980  0.8931 [4 per cell]  5 Co 2.15-2.27
P  0.2500  0.5604  0.6160 [4 per cell]  5 Co 2.21-2.27
P  0.2500  0.7500  0.3435 [2 per cell]  7 Co 2.22-2.35
P  0.2500  0.7500  0.8828 [2 per cell]  5 Co 2.16-2.20

E   -7.97 eV per atom
Energy of formation from the pure elements   -1.03 eV per atom

***

(5)
A plane-wave DFT calculation with GGA-PBEsol was carried out for YCoP2 after structural relaxation.

Cell lengths 3.8213, 5.5443, 6.1173 Å; angles 90.00, 90.00, 90.00 degrees
With the nearest neighbours (Å) after each atom.
Space group Cmmm (No. 65)
Symmetry-distinct sites (fractional):
Y  0.0000  0.0000  0.0000 [2 per cell]  4 P 2.69
Co  0.0000  0.0000  0.5000 [2 per cell]  4 P 2.24
P  0.0000  0.5000  0.3096 [4 per cell]  2 Co 2.24, 1 P 2.33

E   -7.10 eV per atom
Energy of formation from the pure elements   -0.56 eV per atom

***

(6)
A plane-wave DFT calculation with GGA-PBEsol was carried out for YCo5P3 after structural relaxation.

Cell lengths 11.5791, 3.5935, 10.1575 Å; angles 90.00, 90.00, 90.00 degrees
With the nearest neighbours (Å) after each atom.
Space group Pnma (No. 62)
Symmetry-distinct sites (fractional):
Y  0.2029  0.2500  0.0837 [4 per cell]  6 P 2.76-2.82, 9 Co 2.85-3.07
Co  0.0086  0.7500  0.7162 [4 per cell]  3 P 2.18-2.40
Co  0.0119  0.7500  0.0931 [4 per cell]  4 P 2.26-2.28, 1 Co 2.53
Co  0.0684  0.7500  0.4687 [4 per cell]  4 P 2.12-2.20
Co  0.1765  0.2500  0.7804 [4 per cell]  4 P 2.14-2.30
Co  0.1980  0.2500  0.3833 [4 per cell]  4 P 2.24-2.27, 2 Co 2.50
P  0.1089  0.7500  0.8981 [4 per cell]  7 Co 2.18-2.30
P  0.1114  0.2500  0.5833 [4 per cell]  5 Co 2.14-2.27
P  0.1290  0.7500  0.2714 [4 per cell]  5 Co 2.12-2.27

E   -7.93 eV per atom
Energy of formation from the pure elements   -0.94 eV per atom

***

(7)
A plane-wave DFT calculation with GGA-PBEsol was carried out for YCo2P after structural relaxation.

Cell lengths 3.6962, 3.7043, 4.5215 Å; angles 90.00, 90.17, 90.00 degrees
With the nearest neighbours (Å) after each atom.
Space group Pm (No. 6)
Symmetry-distinct sites (fractional):
Y  0.0000  0.0000  0.0000 [1 per cell]  8 Co 2.82-3.02, 4 P 2.95
Co  0.4994  0.0000  0.4720 [1 per cell]  2 P 2.12
Co  0.9983  0.5000  0.4711 [1 per cell]  2 P 2.12
P  0.4991  0.5000  0.6993 [1 per cell]  4 Co 2.12

E   -7.58 eV per atom
Energy of formation from the pure elements   -0.56 eV per atom

***

(8)
A plane-wave DFT calculation with GGA-PBEsol was carried out for Y2Co2P after structural relaxation.

Cell lengths 3.3750, 3.3750, 15.7702 Å; angles 90.00, 90.00, 90.00 degrees
With the nearest neighbours (Å) after each atom.
Space group I4/mmm (No. 139)
Symmetry-distinct sites (fractional):
Y  0.0000  0.0000  0.1033 [4 per cell]  4 Co 2.86, 4 P 2.89
Co  0.0000  0.5000  0.2500 [4 per cell]  4 Co 2.39
P  0.0000  0.0000  0.5000 [2 per cell]  8 Y 2.89

E   -7.37 eV per atom
Energy of formation from the pure elements   -0.39 eV per atom

***

(9)
A plane-wave DFT calculation with GGA-PBEsol was carried out for YCoP2 after structural relaxation.

Cell lengths 3.7071, 3.7071, 5.2116 Å; angles 90.00, 90.00, 90.00 degrees
With the nearest neighbours (Å) after each atom.
Space group P4/mmm (No. 123)
Symmetry-distinct sites (fractional):
Y  0.0000  0.0000  0.0000 [1 per cell]  6 P 2.61-2.62
Co  0.5000  0.5000  0.5000 [1 per cell]  6 P 2.61-2.62
P  0.0000  0.0000  0.5000 [1 per cell]  2 Y 2.61, 4 Co 2.62
P  0.5000  0.5000  0.0000 [1 per cell]  2 Co 2.61, 4 Y 2.62

E   -6.84 eV per atom
Energy of formation from the pure elements   -0.30 eV per atom

***

(10)
A plane-wave DFT calculation with GGA-PBEsol was carried out for Y2CoP after structural relaxation.

Cell lengths 7.0916, 7.0916, 6.6058 Å; angles 90.00, 90.00, 90.00 degrees
With the nearest neighbours (Å) after each atom.
Space group I-42d (No. 122)
Symmetry-distinct sites (fractional):
Y  0.2329  0.2500  0.1250 [8 per cell]  2 Co 2.56, 2 P 2.72
Co  0.0000  0.0000  0.0000 [4 per cell]  4 Y 2.56
P  0.0000  0.0000  0.5000 [4 per cell]  4 Y 2.72

E   -7.06 eV per atom
Energy of formation from the pure elements   -0.27 eV per atom

***

(11)
A plane-wave DFT calculation with GGA-PBEsol was carried out for Y2CoP after structural relaxation.

Cell lengths 3.5645, 3.9568, 11.2778 Å; angles 90.00, 90.00, 90.00 degrees
With the nearest neighbours (Å) after each atom.
Space group Imm2 (No. 44)
Symmetry-distinct sites (fractional):
Y  0.0000  0.0000  0.0000 [2 per cell]  4 P 2.82, 2 Co 3.06
Y  0.0000  0.5000  0.2408 [2 per cell]  4 Co 2.73, 2 P 2.81
Co  0.0000  0.5000  0.7933 [2 per cell]  2 P 2.27
P  0.0000  0.0000  0.4178 [2 per cell]  2 Co 2.27

E   -7.51 eV per atom
Energy of formation from the pure elements   -0.72 eV per atom

***

(12)
A plane-wave DFT calculation with GGA-PBEsol was carried out for Y2Co12P7 after structural relaxation.

Cell lengths 8.8980, 8.8980, 3.5336 Å; angles 90.00, 90.00, 120.00 degrees
With the nearest neighbours (Å) after each atom.
Space group P-6 (No. 174)
Symmetry-distinct sites (fractional):
Y  0.0000  0.0000  0.0000 [1 per cell]  6 P 2.82, 12 Co 2.91-3.14
Y  0.3333  0.6667  0.5000 [1 per cell]  6 P 2.80, 9 Co 2.88-3.08
Co  0.0487  0.2807  0.5000 [3 per cell]  4 P 2.22-2.29
Co  0.1010  0.7082  0.0000 [3 per cell]  4 P 2.22-2.26, 1 Co 2.47
Co  0.3937  0.1802  0.0000 [3 per cell]  4 P 2.11-2.24
Co  0.5360  0.4364  0.5000 [3 per cell]  3 P 2.20-2.39
P  0.0719  0.4459  0.0000 [3 per cell]  7 Co 2.16-2.39
P  0.2647  0.2230  0.5000 [3 per cell]  7 Co 2.20-2.29
P  0.6667  0.3333  0.0000 [1 per cell]  3 Co 2.11

E   -7.90 eV per atom
Energy of formation from the pure elements   -0.90 eV per atom

***

(13)
A plane-wave DFT calculation with GGA-PBEsol was carried out for YCoP2 after structural relaxation.

Cell lengths 3.7542, 3.7542, 8.7251 Å; angles 90.00, 90.00, 90.00 degrees
With the nearest neighbours (Å) after each atom.
Space group I-4m2 (No. 119)
Symmetry-distinct sites (fractional):
Y  0.0000  0.0000  0.0000 [2 per cell]  8 P 2.65-2.88, 4 Co 2.88
Co  0.0000  0.5000  0.2500 [2 per cell]  8 P 2.65-2.88, 4 Y 2.88
P  0.0000  0.0000  0.5000 [2 per cell]  4 Y 2.65, 4 Co 2.88, 4 P 2.88
P  0.0000  0.5000  0.7500 [2 per cell]  4 Co 2.65, 4 P 2.88, 4 Y 2.88

E   -6.89 eV per atom
Energy of formation from the pure elements   -0.35 eV per atom

***

(14)
A plane-wave DFT calculation with GGA-PBEsol was carried out for YCoP5 after structural relaxation.

Cell lengths 3.7515, 3.7515, 7.9853 Å; angles 90.00, 90.00, 90.00 degrees
With the nearest neighbours (Å) after each atom.
Space group P4/mmm (No. 123)
Symmetry-distinct sites (fractional):
Y  0.0000  0.0000  0.0000 [1 per cell]  4 P 2.65
Co  0.0000  0.0000  0.5000 [1 per cell]  8 P 2.33
P  0.0000  0.5000  0.3274 [4 per cell]  2 Co 2.33
P  0.5000  0.5000  0.0000 [1 per cell]  4 Y 2.65

E   -6.44 eV per atom
Energy of formation from the pure elements   -0.22 eV per atom

***

(15)
A plane-wave DFT calculation with GGA-PBEsol was carried out for Y2CoP after structural relaxation.

Cell lengths 3.8998, 3.8287, 10.3031 Å; angles 90.00, 90.00, 90.00 degrees
With the nearest neighbours (Å) after each atom.
Space group Amm2 (No. 38)
Symmetry-distinct sites (fractional):
Y  0.0000  0.0000  0.0000 [2 per cell]  4 Co 2.83, 3 P 2.85-3.04
Y  0.5000  0.0000  0.2786 [2 per cell]  4 P 2.84, 3 Co 2.86-3.03
Co  0.5000  0.0000  0.5728 [2 per cell]  2 P 2.38
P  0.0000  0.0000  0.7053 [2 per cell]  2 Co 2.38

E   -7.71 eV per atom
Energy of formation from the pure elements   -0.92 eV per atom

***

(16)
A plane-wave DFT calculation with GGA-PBEsol was carried out for Zn2CoP after structural relaxation.

Cell lengths 5.8304, 5.8304, 5.8304 Å; angles 90.00, 90.00, 90.00 degrees
With the nearest neighbours (Å) after each atom.
Space group F-43m (No. 216)
Symmetry-distinct sites (fractional):
Zn  0.0000  0.0000  0.0000 [4 per cell]  4 Co 2.52, 4 Zn 2.52
Zn  0.2500  0.2500  0.2500 [4 per cell]  4 P 2.52, 4 Zn 2.52
Co  0.2500  0.2500  0.7500 [4 per cell]  4 Zn 2.52, 4 P 2.52
P  0.0000  0.0000  0.5000 [4 per cell]  4 Co 2.52, 4 Zn 2.52

E   -4.02 eV per atom
Energy of formation from the pure elements   0.16 eV per atom

***

(17)
A plane-wave DFT calculation with GGA-PBEsol was carried out for Zn2CoP after structural relaxation.

Cell lengths 2.6030, 3.9850, 10.6565 Å; angles 90.00, 90.00, 90.00 degrees
With the nearest neighbours (Å) after each atom.
Space group Imm2 (No. 44)
Symmetry-distinct sites (fractional):
Zn  0.0000  0.0000  0.0000 [2 per cell]  2 Co 2.56, 4 Zn 2.60-2.71, 4 P 2.75
Zn  0.0000  0.5000  0.1719 [2 per cell]  4 Co 2.41, 2 Zn 2.60
Co  0.0000  0.5000  0.7067 [2 per cell]  2 P 2.18, 4 Zn 2.41
P  0.0000  0.0000  0.3704 [2 per cell]  2 Co 2.18

E   -4.26 eV per atom
Energy of formation from the pure elements   -0.08 eV per atom

***

(18)
A plane-wave DFT calculation with GGA-PBEsol was carried out for Zn2CoP after structural relaxation.

Cell lengths 2.7871, 2.7871, 23.2220 Å; angles 90.00, 90.00, 120.00 degrees
With the nearest neighbours (Å) after each atom.
Space group R3m (No. 160, hexagonal axes)
Symmetry-distinct sites (fractional):
Zn  0.0000  0.0000  0.0000 [3 per cell]  9 Zn 2.69-2.79, 3 P 2.72
Zn  0.0000  0.0000  0.2405 [3 per cell]  3 Co 2.53, 9 Zn 2.69-2.79
Co  0.0000  0.0000  0.4898 [3 per cell]  3 P 2.16
P  0.0000  0.0000  0.7613 [3 per cell]  3 Co 2.16

E   -4.29 eV per atom
Energy of formation from the pure elements   -0.11 eV per atom

***

(19)
A plane-wave DFT calculation with GGA-PBEsol was carried out for Zn2CoP after structural relaxation.

Cell lengths 2.7898, 3.0200, 6.0887 Å; angles 90.00, 90.00, 90.00 degrees
With the nearest neighbours (Å) after each atom.
Space group Pmm2 (No. 25)
Symmetry-distinct sites (fractional):
Zn  0.0000  0.0000  0.0000 [1 per cell]  6 Zn 2.65-2.79, 1 Co 2.70, 4 P 2.74
Zn  0.5000  0.5000  0.2753 [1 per cell]  1 P 2.60, 6 Zn 2.65-2.79, 4 Co 2.68
Co  0.0000  0.0000  0.5564 [1 per cell]  4 P 2.24
P  0.5000  0.5000  0.7016 [1 per cell]  4 Co 2.24

E   -4.27 eV per atom
Energy of formation from the pure elements   -0.09 eV per atom

***

(20)
A plane-wave DFT calculation with GGA-PBEsol was carried out for Zn2CoP after structural relaxation.

Cell lengths 2.5969, 2.5969, 26.8009 Å; angles 90.00, 90.00, 120.00 degrees
With the nearest neighbours (Å) after each atom.
Space group R-3m (No. 166, hexagonal axes)
Symmetry-distinct sites (fractional):
Zn  0.0000  0.0000  0.2417 [6 per cell]  3 Co 2.51, 6 Zn 2.60
Co  0.0000  0.0000  0.5000 [3 per cell]  6 Zn 2.51, 6 Co 2.60
P  0.0000  0.0000  0.0000 [3 per cell]  6 P 2.60, 6 Zn 2.88

E   -3.96 eV per atom
Energy of formation from the pure elements   0.21 eV per atom

***

Number 1: N(E_F) 4.3 states/eV/f.u.. Number 2: N(E_F) 3.1 states/eV/f.u.. Number 3: N(E_F) 9.9 states/eV/f.u.. Number 4: N(E_F) 3.9 states/eV/f.u.. Number 5: N(E_F) 2.5 states/eV/f.u.. Number 6: N(E_F) 6.1 states/eV/f.u.. Number 7: N(E_F) 2.1 states/eV/f.u.. Number 8: N(E_F) 4.2 states/eV/f.u.. Number 9: N(E_F) 5.7 states/eV/f.u.. Number 10: N(E_F) 3.7 states/eV/f.u.. Number 11: N(E_F) 3.2 states/eV/f.u.. Number 12: N(E_F) 12.6 states/eV/f.u.. Number 13: N(E_F) 3.5 states/eV/f.u.. Number 14: N(E_F) 3.9 states/eV/f.u.. Number 15: N(E_F) 3.2 states/eV/f.u.. Number 16: N(E_F) 1.5 states/eV/f.u.. Number 17: N(E_F) 2.6 states/eV/f.u.. Number 18: N(E_F) 2.3 states/eV/f.u.. Number 19: N(E_F) 2.5 states/eV/f.u.. Number 20: N(E_F) 3.2 states/eV/f.u..